# MgRh3 PBE optimized geometry
# E: -0.44633 Ry/atom
# Energy of formation: -0.1604 eV/atom
data_MgRh3
_chemical_formula_sum 'Mg1 Rh3'
_space_group_name_H-M_alt 'P 4/m m m'
_space_group_IT_number 123
_space_group_name_Hall '-P 4 2'
_cell_length_a 2.7929
_cell_length_b 2.7929
_cell_length_c 7.5964
_cell_angle_alpha 90.00
_cell_angle_beta 90.00
_cell_angle_gamma 90.00
loop_
_atom_site_label
_atom_site_fract_x
_atom_site_fract_y
_atom_site_fract_z
Mg1 0.0000 0.0000 0.0000
Rh1 0.0000 0.0000 0.5000
Rh2 0.5000 0.5000 0.2596

# LiReTe2N PBE optimized geometry
# E: -0.32870 Ry/atom
# Formation energy without anion corrections: 1.32 eV/atom
# ΔE to the lowest computed polymorph: 1224 meV/atom
data_LiReTe2N
_chemical_formula_sum 'Li1 Re1 Te2 N1'
_space_group_name_H-M_alt 'P 4/m m m'
_space_group_IT_number 123
_space_group_name_Hall '-P 4 2'
_cell_length_a 5.0329
_cell_length_b 5.0329
_cell_length_c 3.3950
_cell_angle_alpha 90.00
_cell_angle_beta 90.00
_cell_angle_gamma 90.00
loop_
_atom_site_label
_atom_site_fract_x
_atom_site_fract_y
_atom_site_fract_z
Li1 0.0000 0.0000 0.0000
Re1 0.5000 0.5000 0.5000
Te1 0.0000 0.5000 0.0000
N1 0.0000 0.0000 0.5000

# MgTiBiB2 PBE optimized geometry
# E: -0.27470 Ry/atom
# Energy of formation: 1.6076 eV/atom
data_MgTiBiB2
_chemical_formula_sum 'Mg1 Ti1 Bi1 B2'
_space_group_name_H-M_alt 'P 4/m m m'
_space_group_IT_number 123
_space_group_name_Hall '-P 4 2'
_cell_length_a 4.2993
_cell_length_b 4.2993
_cell_length_c 5.1604
_cell_angle_alpha 90.00
_cell_angle_beta 90.00
_cell_angle_gamma 90.00
loop_
_atom_site_label
_atom_site_fract_x
_atom_site_fract_y
_atom_site_fract_z
Mg1 0.0000 0.0000 0.0000
Ti1 0.0000 0.0000 0.5000
Bi1 0.5000 0.5000 0.5000
B1 0.0000 0.5000 0.0000

# HfNpTiOs PBE optimized geometry
# E: -0.76263 Ry/atom
# Energy of formation: 0.1286 eV/atom
data_HfNpTiOs
_chemical_formula_sum 'Hf4 Np4 Ti4 Os4'
_space_group_name_H-M_alt 'F -4 3 m'
_space_group_IT_number 216
_space_group_name_Hall 'F -4 2 3'
_cell_length_a 6.5928
_cell_length_b 6.5928
_cell_length_c 6.5928
_cell_angle_alpha 90.00
_cell_angle_beta 90.00
_cell_angle_gamma 90.00
loop_
_atom_site_label
_atom_site_fract_x
_atom_site_fract_y
_atom_site_fract_z
Hf1 0.0000 0.0000 0.0000
Np1 0.2500 0.2500 0.2500
Ti1 0.0000 0.0000 0.5000
Os1 0.2500 0.2500 0.7500

no.,V (Å³/atom),magnetization (μB/f.u.)
1,14.8,0.00
2,17.2,2.08
3,19.1,0.00
4,17.9,2.82